Below is a relaxed structure of MnCd6F12, with properties calculated at the PBE with a Hubbard U level.

Values from the calculation:
- space group = No. 148
- E (eV per atom) = -3.96
- spin magnetization (μB/cell) = 5.01

Unit cell a=6.7465 b=6.7465 c=6.7465 alpha=99.55 beta=99.55 gamma=99.55
With the nearest neighbours (Å) after each atom.
Element x y z (fractional)
Mn  0.0000  0.0000  0.0000  6 F 2.17
Cd  0.1367  0.3024  0.6080  6 F 2.29-2.46
Cd  0.6976  0.3920  0.8633  6 F 2.29-2.46
Cd  0.3920  0.8633  0.6976  6 F 2.29-2.46
Cd  0.8633  0.6976  0.3920  6 F 2.29-2.46
Cd  0.3024  0.6080  0.1367  6 F 2.29-2.46
Cd  0.6080  0.1367  0.3024  6 F 2.29-2.46
F  0.4292  0.1763  0.5838  4 Cd 2.29-2.46
F  0.1763  0.5838  0.4292  4 Cd 2.29-2.46
F  0.5838  0.4292  0.1763  4 Cd 2.29-2.46
F  0.5708  0.8237  0.4162  4 Cd 2.29-2.46
F  0.8237  0.4162  0.5708  4 Cd 2.29-2.46
F  0.4162  0.5708  0.8237  4 Cd 2.29-2.46
F  0.0512  0.9267  0.6898  1 Mn 2.17, 2 Cd 2.35-2.40
F  0.3102  0.9488  0.0733  1 Mn 2.17, 2 Cd 2.35-2.40
F  0.0733  0.3102  0.9488  1 Mn 2.17, 2 Cd 2.35-2.40
F  0.9488  0.0733  0.3102  1 Mn 2.17, 2 Cd 2.35-2.40
F  0.6898  0.0512  0.9267  1 Mn 2.17, 2 Cd 2.35-2.40
F  0.9267  0.6898  0.0512  1 Mn 2.17, 2 Cd 2.35-2.40


Below is a relaxed structure of MnCdF3, with properties calculated at the PBE with a Hubbard U level.

Values from the calculation:
- space group = No. 221
- E (eV per atom) = -4.82
- spin magnetization (μB/cell) = 5.11

Unit cell a=4.2443 b=4.2443 c=4.2443 alpha=90.00 beta=90.00 gamma=90.00
With the nearest neighbours (Å) after each atom.
Element x y z (fractional)
F  0.0000  0.5000  0.0000  2 Mn 2.12
F  0.0000  0.0000  0.5000  2 Mn 2.12
F  0.5000  0.0000  0.0000  2 Mn 2.12
Mn  0.0000  0.0000  0.0000  6 F 2.12
Cd  0.5000  0.5000  0.5000  12 F 3.00


Below is a relaxed structure of MnCdF3, with properties calculated at the PBE with a Hubbard U level.

Values from the calculation:
- space group = No. 40
- E (eV per atom) = -4.85
- spin magnetization (μB/cell) = 9.92

Unit cell a=4.0867 b=4.1697 c=9.7414 alpha=102.36 beta=90.00 gamma=90.00
With the nearest neighbours (Å) after each atom.
Element x y z (fractional)
Mn  0.2500  0.6395  0.1442  6 F 2.10-2.25
Mn  0.7500  0.4952  0.8558  6 F 2.10-2.25
Cd  0.2500  0.9743  0.6212  3 F 2.40-2.54
Cd  0.7500  0.3532  0.3788  3 F 2.40-2.54
F  0.7500  0.9704  0.8162  2 Mn 2.10-2.14
F  0.7500  0.6063  0.0917  3 Mn 2.10-2.25
F  0.7500  0.3372  0.6239  1 Mn 2.21, 1 Cd 2.40
F  0.2500  0.5146  0.9083  3 Mn 2.10-2.25
F  0.2500  0.1542  0.1838  2 Mn 2.10-2.14
F  0.2500  0.7134  0.3761  1 Mn 2.21, 1 Cd 2.40


Below is a relaxed structure of MnCdF4, with properties calculated at the PBE with a Hubbard U level.

Values from the calculation:
- space group = No. 14
- E (eV per atom) = -5.07
- spin magnetization (μB/cell) = 10.00

Unit cell a=5.4468 b=5.4499 c=5.4607 alpha=90.00 beta=91.18 gamma=90.00
With the nearest neighbours (Å) after each atom.
Element x y z (fractional)
Mn  0.5000  0.0000  0.5000  6 F 2.13-2.20
Mn  0.0000  0.5000  0.5000  6 F 2.13-2.20
Cd  0.0000  0.0000  0.0000  6 F 2.25-2.33
Cd  0.5000  0.5000  0.0000  6 F 2.25-2.33
F  0.8507  0.6579  0.1720  1 Mn 2.13, 2 Cd 2.25-2.28
F  0.6493  0.1579  0.8280  1 Mn 2.13, 2 Cd 2.25-2.28
F  0.3191  0.3270  0.3420  2 Mn 2.17-2.20, 1 Cd 2.33
F  0.1809  0.8270  0.6580  2 Mn 2.17-2.20, 1 Cd 2.33
F  0.1493  0.3421  0.8280  1 Mn 2.13, 2 Cd 2.25-2.28
F  0.3507  0.8421  0.1720  1 Mn 2.13, 2 Cd 2.25-2.28
F  0.6809  0.6730  0.6580  2 Mn 2.17-2.20, 1 Cd 2.33
F  0.8191  0.1730  0.3420  2 Mn 2.17-2.20, 1 Cd 2.33


Below is a relaxed structure of Mn3CdF, with properties calculated at the PBE with a Hubbard U level.

Values from the calculation:
- space group = No. 221
- E (eV per atom) = -4.54
- spin magnetization (μB/cell) = 14.59

Unit cell a=5.2688 b=5.2688 c=5.2688 alpha=90.00 beta=90.00 gamma=90.00
With the nearest neighbours (Å) after each atom.
Element x y z (fractional)
F  0.5000  0.5000  0.5000  12 Mn 3.73
Mn  0.0000  0.5000  0.0000  2 Cd 2.63
Mn  0.0000  0.0000  0.5000  2 Cd 2.63
Mn  0.5000  0.0000  0.0000  2 Cd 2.63
Cd  0.0000  0.0000  0.0000  6 Mn 2.63


Below is a relaxed structure of Mn2CdF, with properties calculated at the PBE with a Hubbard U level.

Values from the calculation:
- space group = No. 225
- E (eV per atom) = -4.56
- spin magnetization (μB/cell) = 9.64

Unit cell a=4.7582 b=4.7582 c=4.7582 alpha=60.00 beta=60.00 gamma=60.00
With the nearest neighbours (Å) after each atom.
Element x y z (fractional)
F  0.0000  0.0000  0.0000  8 Mn 2.91
Mn  0.2500  0.2500  0.2500  4 Cd 2.91, 4 F 2.91
Mn  0.7500  0.7500  0.7500  4 Cd 2.91, 4 F 2.91
Cd  0.5000  0.5000  0.5000  8 Mn 2.91


Below is a relaxed structure of MnCdMoF6, with properties calculated at the PBE with a Hubbard U level.

Values from the calculation:
- space group = No. 163
- E (eV per atom) = -5.23
- spin magnetization (μB/cell) = 14.81

Unit cell a=5.7781 b=5.7781 c=10.4886 alpha=90.00 beta=90.00 gamma=120.00
With the nearest neighbours (Å) after each atom.
Element x y z (fractional)
Mn  0.3333  0.6667  0.2500  6 F 2.17
Mn  0.6667  0.3333  0.7500  6 F 2.17
Cd  0.0000  0.0000  0.0000  6 F 2.61
Cd  0.0000  0.0000  0.5000  6 F 2.61
Mo  0.6667  0.3333  0.2500  6 F 2.11
Mo  0.3333  0.6667  0.7500  6 F 2.11
F  0.6370  0.6304  0.1454  1 Mo 2.11, 1 Mn 2.17
F  0.9934  0.3630  0.1454  1 Mo 2.11, 1 Mn 2.17
F  0.3630  0.9934  0.6454  1 Mo 2.11, 1 Mn 2.17
F  0.0066  0.6370  0.8546  1 Mo 2.11, 1 Mn 2.17
F  0.3696  0.3630  0.3546  1 Mo 2.11, 1 Mn 2.17
F  0.9934  0.6304  0.3546  1 Mo 2.11, 1 Mn 2.17
F  0.6304  0.9934  0.8546  1 Mo 2.11, 1 Mn 2.17
F  0.6370  0.0066  0.3546  1 Mo 2.11, 1 Mn 2.17
F  0.0066  0.3696  0.6454  1 Mo 2.11, 1 Mn 2.17
F  0.3696  0.0066  0.1454  1 Mo 2.11, 1 Mn 2.17
F  0.6304  0.6370  0.6454  1 Mo 2.11, 1 Mn 2.17
F  0.3630  0.3696  0.8546  1 Mo 2.11, 1 Mn 2.17


Below is a relaxed structure of MnCdN2F, with properties calculated at the PBE with a Hubbard U level.

Values from the calculation:
- space group = No. 123
- E (eV per atom) = -5.19
- spin magnetization (μB/cell) = 2.07

Unit cell a=3.9257 b=3.9257 c=3.9983 alpha=90.00 beta=90.00 gamma=90.00
With the nearest neighbours (Å) after each atom.
Element x y z (fractional)
N  0.0000  0.5000  0.0000  2 Mn 1.96
N  0.5000  0.0000  0.0000  2 Mn 1.96
F  0.0000  0.0000  0.5000  2 Mn 2.00
Mn  0.0000  0.0000  0.0000  4 N 1.96, 2 F 2.00
Cd  0.5000  0.5000  0.5000  4 F 2.78, 8 N 2.80


Below is a relaxed structure of MnCdN2F, with properties calculated at the PBE with a Hubbard U level.

Values from the calculation:
- space group = No. 123
- E (eV per atom) = -4.47
- spin magnetization (μB/cell) = 2.62

Unit cell a=4.2508 b=4.2508 c=4.3631 alpha=90.00 beta=90.00 gamma=90.00
With the nearest neighbours (Å) after each atom.
Element x y z (fractional)
N  0.0000  0.5000  0.0000  2 Cd 2.13
N  0.5000  0.0000  0.0000  2 Cd 2.13
F  0.0000  0.0000  0.5000  2 Cd 2.18
Mn  0.5000  0.5000  0.5000  4 F 3.01, 8 N 3.05
Cd  0.0000  0.0000  0.0000  4 N 2.13, 2 F 2.18


Below is a relaxed structure of Na2MnCdF8, with properties calculated at the PBE with a Hubbard U level.

Values from the calculation:
- space group = No. 10
- E (eV per atom) = -4.58
- spin magnetization (μB/cell) = 2.96

Unit cell a=5.0068 b=5.0523 c=6.8983 alpha=89.99 beta=90.00 gamma=92.34
With the nearest neighbours (Å) after each atom.
Element x y z (fractional)
Na  0.5000  0.5000  0.7546  6 F 2.25-2.38
Na  0.5000  0.5000  0.2454  6 F 2.25-2.38
Mn  0.0000  0.0000  0.0000  6 F 1.84-1.86
Cd  0.0000  0.0000  0.5000  2 F 2.08
F  0.1764  0.8243  0.1956  1 Mn 1.86
F  0.7346  0.7372  0.0000  1 Mn 1.84
F  0.8236  0.1757  0.1956  1 Mn 1.86
F  0.8236  0.1757  0.8044  1 Mn 1.86
F  0.2654  0.2628  0.0000  1 Mn 1.84
F  0.1764  0.8243  0.8044  1 Mn 1.86
F  0.7003  0.7032  0.5000  1 Cd 2.08, 2 Na 2.25
F  0.2997  0.2968  0.5000  1 Cd 2.08, 2 Na 2.25


Below is a relaxed structure of NaMn2CdF6, with properties calculated at the PBE with a Hubbard U level.

Values from the calculation:
- space group = No. 146
- E (eV per atom) = -5.22
- spin magnetization (μB/cell) = 9.99

Unit cell a=5.8470 b=5.8473 c=5.9199 alpha=60.40 beta=60.40 gamma=60.00
With the nearest neighbours (Å) after each atom.
Element x y z (fractional)
Na  0.7339  0.7339  0.7983  6 F 2.35-2.49
Mn  0.5116  0.5116  0.4651  6 F 2.13-2.19
Mn  0.0180  0.0180  0.9461  6 F 2.14-2.18
Cd  0.2532  0.2532  0.2404  6 F 2.47-2.76
F  0.6856  0.2905  0.1753  2 Mn 2.14-2.19
F  0.2906  0.8486  0.1753  2 Mn 2.14-2.19
F  0.8486  0.6856  0.1755  2 Mn 2.14-2.19
F  0.3774  0.7853  0.6798  2 Mn 2.14-2.18, 1 Na 2.35
F  0.7853  0.1575  0.6798  2 Mn 2.14-2.18, 1 Na 2.35
F  0.1575  0.3775  0.6797  2 Mn 2.13-2.18, 1 Na 2.35


Below is a relaxed structure of MnCdOF2, with properties calculated at the PBE with a Hubbard U level.

Values from the calculation:
- space group = No. 123
- E (eV per atom) = -5.09
- spin magnetization (μB/cell) = 4.60

Unit cell a=4.0891 b=4.0891 c=4.0585 alpha=90.00 beta=90.00 gamma=90.00
With the nearest neighbours (Å) after each atom.
Element x y z (fractional)
F  0.0000  0.5000  0.0000  2 Mn 2.04
F  0.5000  0.0000  0.0000  2 Mn 2.04
Mn  0.0000  0.0000  0.0000  2 O 2.03, 4 F 2.04
O  0.0000  0.0000  0.5000  2 Mn 2.03
Cd  0.5000  0.5000  0.5000  8 F 2.88, 4 O 2.89


Below is a relaxed structure of MnCdOF2, with properties calculated at the PBE with a Hubbard U level.

Values from the calculation:
- space group = No. 123
- E (eV per atom) = -4.60
- spin magnetization (μB/cell) = 5.04

Unit cell a=4.2879 b=4.2879 c=4.3835 alpha=90.00 beta=90.00 gamma=90.00
With the nearest neighbours (Å) after each atom.
Element x y z (fractional)
F  0.0000  0.5000  0.0000  2 Cd 2.14
F  0.5000  0.0000  0.0000  2 Cd 2.14
Mn  0.5000  0.5000  0.5000  4 O 3.03, 8 F 3.07
O  0.0000  0.0000  0.5000  2 Cd 2.19
Cd  0.0000  0.0000  0.0000  4 F 2.14, 2 O 2.19


Below is a relaxed structure of Mn2CdO2F2, with properties calculated at the PBE with a Hubbard U level.

Values from the calculation:
- space group = No. 139
- E (eV per atom) = -5.72
- spin magnetization (μB/cell) = 10.05

Unit cell a=4.2760 b=4.2760 c=6.4978 alpha=109.21 beta=109.21 gamma=90.00
With the nearest neighbours (Å) after each atom.
Element x y z (fractional)
Mn  0.3834  0.3834  0.7669  1 F 1.95
Mn  0.6166  0.6166  0.2331  1 F 1.95
Cd  0.0000  0.0000  0.0000  4 O 2.14
O  0.0000  0.5000  0.0000  2 Cd 2.14
O  0.5000  0.0000  0.0000  2 Cd 2.14
F  0.2141  0.2141  0.4282  1 Mn 1.95
F  0.7859  0.7859  0.5718  1 Mn 1.95


Below is a relaxed structure of Mn2CdOsF, with properties calculated at the PBE with a Hubbard U level.

Values from the calculation:
- space group = No. 123
- E (eV per atom) = -4.41
- spin magnetization (μB/cell) = 12.60

Unit cell a=5.2696 b=5.0333 c=5.2696 alpha=90.00 beta=90.00 gamma=90.00
With the nearest neighbours (Å) after each atom.
Element x y z (fractional)
F  0.5000  0.5000  0.5000  8 Mn 3.64, 4 Os 3.73
Mn  0.0000  0.0000  0.5000  2 Cd 2.63
Mn  0.5000  0.0000  0.0000  2 Cd 2.63
Os  0.0000  0.5000  0.0000  2 Cd 2.52
Cd  0.0000  0.0000  0.0000  2 Os 2.52, 4 Mn 2.63


Below is a relaxed structure of MnCdPb2F, with properties calculated at the PBE with a Hubbard U level.

Values from the calculation:
- space group = No. 123
- E (eV per atom) = -3.76
- spin magnetization (μB/cell) = 4.58

Unit cell a=5.1249 b=4.8298 c=5.1249 alpha=90.00 beta=90.00 gamma=90.00
With the nearest neighbours (Å) after each atom.
Element x y z (fractional)
Pb  0.0000  0.0000  0.5000  2 F 2.56
Pb  0.5000  0.0000  0.0000  2 F 2.56
F  0.0000  0.0000  0.0000  2 Cd 2.41, 4 Pb 2.56
Mn  0.5000  0.5000  0.5000  8 Pb 3.52, 4 Cd 3.62
Cd  0.0000  0.5000  0.0000  2 F 2.41


Below is a relaxed structure of MnCdPbF6, with properties calculated at the PBE with a Hubbard U level.

Values from the calculation:
- space group = No. 163
- E (eV per atom) = -5.01
- spin magnetization (μB/cell) = 10.00

Unit cell a=5.8211 b=5.8211 c=10.3149 alpha=90.00 beta=90.00 gamma=120.00
With the nearest neighbours (Å) after each atom.
Element x y z (fractional)
Mn  0.6667  0.3333  0.2500  6 F 2.15
Mn  0.3333  0.6667  0.7500  6 F 2.15
Cd  0.3333  0.6667  0.2500  6 F 2.27
Cd  0.6667  0.3333  0.7500  6 F 2.27
Pb  0.0000  0.0000  0.0000  6 F 2.50
Pb  0.0000  0.0000  0.5000  6 F 2.50
F  0.6556  0.6399  0.1384  1 Mn 2.15, 1 Cd 2.27
F  0.9843  0.3444  0.1384  1 Mn 2.15, 1 Cd 2.27
F  0.3444  0.9843  0.6384  1 Mn 2.15, 1 Cd 2.27
F  0.0157  0.6556  0.8616  1 Mn 2.15, 1 Cd 2.27
F  0.3601  0.3444  0.3616  1 Mn 2.15, 1 Cd 2.27
F  0.9843  0.6399  0.3616  1 Mn 2.15, 1 Cd 2.27
F  0.6399  0.9843  0.8616  1 Mn 2.15, 1 Cd 2.27
F  0.6556  0.0157  0.3616  1 Mn 2.15, 1 Cd 2.27
F  0.0157  0.3601  0.6384  1 Mn 2.15, 1 Cd 2.27
F  0.3601  0.0157  0.1384  1 Mn 2.15, 1 Cd 2.27
F  0.6399  0.6556  0.6384  1 Mn 2.15, 1 Cd 2.27
F  0.3444  0.3601  0.8616  1 Mn 2.15, 1 Cd 2.27


Below is a relaxed structure of Mn2CdPbF8, with properties calculated at the PBE with a Hubbard U level.

Values from the calculation:
- space group = No. 10
- E (eV per atom) = -5.34
- spin magnetization (μB/cell) = 10.00

Unit cell a=5.2200 b=5.2310 c=7.0330 alpha=90.00 beta=90.00 gamma=89.58
With the nearest neighbours (Å) after each atom.
Element x y z (fractional)
Mn  0.5000  0.5000  0.7576  6 F 2.12-2.22
Mn  0.5000  0.5000  0.2424  6 F 2.12-2.22
Cd  0.0000  0.0000  0.0000  6 F 2.26-2.32
Pb  0.0000  0.0000  0.5000  6 F 2.43-2.45
F  0.2082  0.7830  0.2326  1 Mn 2.12, 1 Cd 2.26
F  0.6846  0.6909  0.0000  2 Mn 2.20, 1 Cd 2.32
F  0.7919  0.2171  0.2326  1 Mn 2.12, 1 Cd 2.26
F  0.7918  0.2170  0.7674  1 Mn 2.12, 1 Cd 2.26
F  0.3154  0.3091  0.0000  2 Mn 2.20, 1 Cd 2.32
F  0.2081  0.7829  0.7674  1 Mn 2.12, 1 Cd 2.26
F  0.6678  0.6766  0.5000  2 Mn 2.22, 1 Pb 2.43
F  0.3322  0.3234  0.5000  2 Mn 2.22, 1 Pb 2.43


Below is a relaxed structure of Mn2CdPdF, with properties calculated at the PBE with a Hubbard U level.

Values from the calculation:
- space group = No. 123
- E (eV per atom) = -4.84
- spin magnetization (μB/cell) = 9.57

Unit cell a=4.2871 b=4.9301 c=4.2871 alpha=90.00 beta=90.00 gamma=90.00
With the nearest neighbours (Å) after each atom.
Element x y z (fractional)
F  0.0000  0.0000  0.0000  4 Mn 2.14
Mn  0.0000  0.0000  0.5000  2 F 2.14
Mn  0.5000  0.0000  0.0000  2 F 2.14
Pd  0.0000  0.5000  0.0000  2 F 2.47
Cd  0.5000  0.5000  0.5000  4 Pd 3.03, 8 Mn 3.27


Below is a relaxed structure of MnCdPt2F, with properties calculated at the PBE with a Hubbard U level.

Values from the calculation:
- space group = No. 123
- E (eV per atom) = -4.48
- spin magnetization (μB/cell) = 5.04

Unit cell a=4.7388 b=3.9325 c=4.7388 alpha=90.00 beta=90.00 gamma=90.00
With the nearest neighbours (Å) after each atom.
Element x y z (fractional)
F  0.0000  0.0000  0.0000  2 Mn 1.97
Mn  0.0000  0.5000  0.0000  2 F 1.97
Pt  0.0000  0.0000  0.5000  2 F 2.37
Pt  0.5000  0.0000  0.0000  2 F 2.37
Cd  0.5000  0.5000  0.5000  8 Pt 3.08, 4 Mn 3.35